A plane-wave DFT calculation with PBE with a Hubbard U was carried out for an optimized crystal structure of TbScMoO6.

Unit cell a=5.4224 b=5.4224 c=4.5512 alpha=90.00 beta=90.00 gamma=120.00
Space group P312 (No. 149)
Unique sites:
Tb  0.0000  0.0000  0.0000 x1
Sc  0.6667  0.3333  0.5000 x1
Mo  0.3333  0.6667  0.0000 x1
O  0.0234  0.3767  0.2390 x6

Properties
- size of the total moment (μB/f.u.) = 0.0
- E (eV per cell) = -70.97